FeAgSe2 | GGA-PBE | optimized geometry

abc: 3.4567 2.9440 7.9900
angles: 71.12 90.00 90.00
Each line ends with the local moment (μB).
Sites, in units of the cell vectors:
1 Ag 0.5000 0.2500 0.2500  0.01
2 Fe 0.5000 0.7500 0.7500  2.62
3 Se 0.0000 0.7654 0.9646  0.00
4 Se 0.0000 0.7346 0.5354  0.00

Raw total energy in Ha/atom: -0.16273
Formation energy (no corrections) in eV/atom: 0.143
Space-group type: P2/m, No. 10

***

Fe2AgSe2 | GGA-PBE | optimized geometry

abc: 5.1952 5.1952 5.1952
angles: 125.80 125.80 80.22
Each line ends with the local moment (μB).
Sites, in units of the cell vectors:
1 Fe 0.6413 0.6413 0.0000  2.58
2 Fe 0.3587 0.3587 0.0000  2.58
3 Ag 0.0000 0.0000 0.0000  0.03
4 Se 0.2500 0.7500 0.5000  -0.01
5 Se 0.7500 0.2500 0.5000  -0.01

Raw total energy in Ha/atom: -0.18800
Formation energy (no corrections) in eV/atom: 0.233
Space-group type: I4/mmm, No. 139

***

Fe2AgSe | GGA-PBE | optimized geometry

abc: 4.4657 4.4657 4.4657
angles: 60.00 60.00 60.00
Each line ends with the local moment (μB).
Sites, in units of the cell vectors:
1 Ag 0.5000 0.5000 0.5000  0.01
2 Fe 0.0000 0.0000 0.0000  2.68
3 Fe 0.2500 0.2500 0.2500  2.89
4 Se 0.7500 0.7500 0.7500  0.10

Raw total energy in Ha/atom: -0.19388
Formation energy (no corrections) in eV/atom: 0.540
Space-group type: F-43m, No. 216

***

Fe2AgSe | GGA-PBE | optimized geometry

abc: 5.2932 5.2932 5.2932
angles: 146.86 129.58 61.67
Each line ends with the local moment (μB).
Sites, in units of the cell vectors:
1 Ag 0.2530 0.7530 0.5000  -0.01
2 Fe 0.9653 0.9653 0.0000  2.76
3 Fe 0.7472 0.2472 0.5000  2.46
4 Se 0.5346 0.5346 0.0000  -0.04

Raw total energy in Ha/atom: -0.20099
Formation energy (no corrections) in eV/atom: 0.346
Space-group type: Imm2, No. 44

***

no.,M_tot (μB per atom)
1,0.675
2,1.065
3,1.422
4,1.283